VASP calculation (PBE) on a relaxed structure of Li6Ag8Hg.

a b c (Å): 6.9845 6.9845 6.9845
angles (deg): 65.39 65.39 65.39
With the nearest neighbours (Å) after each atom.
Positions (direct):
Li: 0.0534 0.7222 0.3915  7 Ag 2.64-2.79, 1 Hg 2.69
Li: 0.2778 0.6085 0.9466  7 Ag 2.64-2.79, 1 Hg 2.69
Li: 0.3915 0.0534 0.7222  7 Ag 2.64-2.79, 1 Hg 2.69
Li: 0.6085 0.9466 0.2778  7 Ag 2.64-2.79, 1 Hg 2.69
Li: 0.7222 0.3915 0.0534  7 Ag 2.64-2.79, 1 Hg 2.69
Li: 0.9466 0.2778 0.6085  7 Ag 2.64-2.79, 1 Hg 2.69
Ag: 0.1136 0.4548 0.7758  5 Li 2.64-2.79
Ag: 0.2242 0.8864 0.5452  5 Li 2.64-2.79
Ag: 0.3364 0.3364 0.3364  6 Li 2.67-2.68
Ag: 0.4548 0.7758 0.1136  5 Li 2.64-2.79
Ag: 0.5452 0.2242 0.8864  5 Li 2.64-2.79
Ag: 0.6636 0.6636 0.6636  6 Li 2.67-2.68
Ag: 0.7758 0.1136 0.4548  5 Li 2.64-2.79
Ag: 0.8864 0.5452 0.2242  5 Li 2.64-2.79
Hg: 0.0000 0.0000 0.0000  6 Li 2.69

## Properties
Its formation enthalpy at 0 K is -0.049 eV per atom. The value obtained for the final energy is -35.33 eV/cell. For the density, the calculation gives 6.82 Mg/m³.